#P
10
Lattice="7.5699 0.0000 0.0000 0.0000 7.5699 0.0000 0.0000 0.0000 3.5326" Properties=species:S:1:pos:R:3 comment="TaAl2In2, relaxed, DFT PBE" magnetic_moment_mub_per_cell=0.00 pbc="T T T"
In 4.8249 1.0400 0.0000
In 1.0400 2.7450 0.0000
In 2.7450 6.5299 0.0000
In 6.5299 4.8249 0.0000
Al 2.5270 1.2580 1.7663
Al 1.2580 5.0429 1.7663
Al 6.3119 2.5270 1.7663
Al 5.0429 6.3119 1.7663
Ta 0.0000 0.0000 0.0000
Ta 3.7849 3.7849 0.0000

=====

#Q
5
Lattice="3.7164 0.0000 0.0000 0.0000 3.7164 0.0000 1.8582 1.8582 7.6901" Properties=species:S:1:pos:R:3 comment="TaAl2In2, relaxed, DFT PBE" magnetic_moment_mub_per_cell=0.00 pbc="T T T"
In 1.8582 1.8582 1.4872
In 3.7164 3.7164 6.2029
Ta 0.0000 0.0000 0.0000
Al 3.7164 1.8582 3.8450
Al 1.8582 3.7164 3.8450

=====

#R
10
Lattice="7.1333 0.0000 0.0000 0.0000 7.1333 0.0000 0.0000 0.0000 3.9320" Properties=species:S:1:pos:R:3 comment="TaAl2In2, relaxed, DFT PBE" magnetic_moment_mub_per_cell=0.00 pbc="T T T"
Al 6.1493 4.5506 0.0000
Al 2.5827 6.1493 0.0000
Al 4.5506 0.9840 0.0000
Al 0.9840 2.5827 0.0000
In 2.3776 1.1890 1.9660
In 5.9443 2.3776 1.9660
In 4.7557 5.9443 1.9660
In 1.1890 4.7557 1.9660
Ta 0.0000 0.0000 0.0000
Ta 3.5666 3.5666 0.0000

=====

#S
5
Lattice="-0.8538 0.7114 -3.7069 -0.9741 -3.7133 -0.4883 -7.7196 0.0393 -0.2344" Properties=species:S:1:pos:R:3 comment="TaAl2In2, relaxed, DFT PBE" magnetic_moment_mub_per_cell=0.00 pbc="T T T"
Al -2.0794 -1.2372 -1.7785
Al -7.4681 -1.7255 -2.6510
In -4.8038 -2.5875 -1.4101
In -4.7437 -0.3751 -3.0194
Ta 0.0000 0.0000 0.0000

=====

#R is favored, and the nearest alternative lies 18.5 kJ/mol of atoms above it.

=====

#P
10
Lattice="5.2033 0.0000 0.0000 0.0000 8.0539 -0.0004 0.0000 -4.0252 6.9759" Properties=species:S:1:pos:R:3 comment="Tb3AlIn, relaxed, DFT PBE" magnetic_moment_mub_per_cell=0.00 pbc="T T T"
Tb 1.3008 2.3119 1.3356
Tb 3.9025 0.0015 2.6699
Tb 1.3008 4.0272 4.3055
Tb 3.9025 1.7168 5.6399
Tb 3.9025 -1.7130 5.6405
Tb 1.3008 5.7417 1.3350
In 1.3008 0.0030 4.6494
In 3.9025 4.0258 2.3260
Al 2.6017 0.0000 0.0000
Al 0.0000 0.0000 0.0000

=====

#Q
10
Lattice="4.8119 0.0000 1.0996 0.0000 4.9374 0.0000 -0.0572 0.0000 11.3281" Properties=species:S:1:pos:R:3 comment="Tb3AlIn, relaxed, DFT PBE" magnetic_moment_mub_per_cell=0.00 pbc="T T T"
Tb 1.2596 3.7030 1.6704
Tb 3.6662 1.2343 2.2174
Tb 1.8030 1.2343 10.3707
Tb 0.3282 3.7030 5.7463
Tb 2.7344 1.2343 6.2948
Tb 4.2082 3.7030 10.9233
In 0.7957 1.2343 3.7006
In 2.2669 3.7030 8.3405
Al 4.6725 1.2343 8.8921
Al 3.2020 3.7030 4.2486

=====

#Q is favored, and the nearest alternative lies 17.2 kJ/mol of atoms above it.

=====

#P
6
Lattice="-0.4144 -3.0277 4.1160 4.1265 -2.4430 1.8109 2.9290 4.7294 6.9662" Properties=species:S:1:pos:R:3 comment="Tb4AlIn, relaxed, DFT PBE" magnetic_moment_mub_per_cell=0.00 pbc="T T T"
Al 0.0000 0.0000 0.0000
Tb 2.3131 2.3433 5.1490
Tb 4.3280 -3.0846 7.7441
Tb 2.6690 -2.8952 4.5239
Tb 3.9721 2.1539 8.3692
In 3.3205 -0.3706 6.4465

=====

#Q
6
Lattice="3.3717 0.0000 0.9752 2.1738 6.8198 -1.1995 -0.5126 -3.4269 8.0886" Properties=species:S:1:pos:R:3 comment="Tb4AlIn, relaxed, DFT PBE" magnetic_moment_mub_per_cell=0.00 pbc="T T T"
Tb 4.0610 4.3211 4.9083
Tb 0.9719 -0.9282 2.9560
Tb 1.5281 2.6954 1.0330
Tb 3.5048 0.6975 6.8313
In 0.0000 0.0000 0.0000
Al 2.5164 1.6965 3.9321

=====

#Q is favored, and the nearest alternative lies 20.1 kJ/mol of atoms above it.

=====

#P
4
Lattice="4.5809 0.0000 0.0000 2.2905 3.9672 0.0000 2.2905 1.3224 5.0643" Properties=species:S:1:pos:R:3 comment="TbAl2In, relaxed, DFT PBE" magnetic_moment_mub_per_cell=0.00 pbc="T T T"
Al 6.8714 3.9672 4.2381
Al 2.2905 1.3224 0.8262
In 0.0000 0.0000 0.0000
Tb 4.5809 2.6448 2.5322

=====

#Q
4
Lattice="-3.9100 -0.8208 1.6469 -1.3063 -1.6405 -3.9190 1.3696 -4.0438 1.2362" Properties=species:S:1:pos:R:3 comment="TbAl2In, relaxed, DFT PBE" magnetic_moment_mub_per_cell=0.00 pbc="T T T"
Al -0.6531 -0.8202 -1.9595
Al 0.6848 -2.0219 0.6181
Tb -1.9233 -3.2526 -0.5180
In -1.9550 -0.4104 0.8234

=====

#Q is favored, and the nearest alternative lies 24.1 kJ/mol of atoms above it.

=====

#P
11
Lattice="4.7998 0.0000 -1.4608 -1.2498 7.2305 -4.1067 0.0689 0.1444 8.8423" Properties=species:S:1:pos:R:3 comment="Tb8Al2In, relaxed, DFT PBE" magnetic_moment_mub_per_cell=0.00 pbc="T T T"
Tb 2.6374 3.2625 0.0500
Tb 3.0835 6.2833 1.5158
Tb 2.0978 6.3846 -1.7231
Tb 4.4793 2.3967 6.1023
Tb 0.9815 4.1124 3.2249
Tb 1.5211 0.9902 4.9980
Tb -0.8605 4.9782 -2.8273
Tb 0.5354 1.0916 1.7591
Al 3.5309 2.3062 2.9860
Al 0.0879 5.0687 0.2889
In 2.3999 0.0000 -0.7304

=====

#Q
11
Lattice="5.4776 -0.2635 -0.3955 -1.2796 8.2905 -0.4395 -1.2796 -3.5986 7.4817" Properties=species:S:1:pos:R:3 comment="Tb8Al2In, relaxed, DFT PBE" magnetic_moment_mub_per_cell=0.00 pbc="T T T"
Tb 1.4592 -1.0573 5.5029
Tb 2.8877 2.0577 6.1848
Tb 2.8877 4.9151 4.2810
Tb 0.0306 2.3706 0.4619
Tb 1.4592 5.4856 1.1437
Tb 2.8129 1.6771 2.5172
Tb 0.0306 -0.4868 2.3656
Tb 0.1054 2.7512 4.1294
Al -1.2796 0.0459 5.0535
Al -1.2796 4.6460 1.9886
In 2.7388 -0.1318 -0.1978

=====

#P is favored, and the nearest alternative lies 5.8 kJ/mol of atoms above it.

=====

#P
7
Lattice="-4.8297 1.4826 0.5029 -2.7221 -1.5319 4.0025 0.2517 7.4017 6.2243" Properties=species:S:1:pos:R:3 comment="Tb4Al2In, relaxed, DFT PBE" magnetic_moment_mub_per_cell=0.00 pbc="T T T"
In 0.0000 0.0000 0.0000
Tb -5.8596 4.4841 7.3914
Tb -2.6656 6.3136 7.0438
Tb -4.6345 1.0389 3.6859
Tb -1.4405 2.8683 3.3383
Al -0.5472 5.2615 4.8618
Al -6.7529 2.0909 5.8678

=====

#Q
7
Lattice="-1.8251 -2.0772 -4.3319 -1.9107 -4.7706 0.0442 -8.8096 0.7630 0.2973" Properties=species:S:1:pos:R:3 comment="Tb4Al2In, relaxed, DFT PBE" magnetic_moment_mub_per_cell=0.00 pbc="T T T"
In 0.0000 0.0000 0.0000
Tb -8.9107 -1.9803 -1.3931
Tb -5.8460 -0.4302 -0.3791
Tb -3.6348 -4.1045 -2.5973
Tb -6.6994 -5.6546 -3.6113
Al -3.0900 -1.5399 -1.0082
Al -9.4554 -4.5450 -2.9822

=====

#Q is favored, and the nearest alternative lies 14.7 kJ/mol of atoms above it.

=====

#P
4
Lattice="-2.3517 -1.4778 2.2563 -1.5431 -1.7180 -2.7336 4.7669 -5.9678 1.0598" Properties=species:S:1:pos:R:3 comment="TbTmAlIn, relaxed, DFT PBE" magnetic_moment_mub_per_cell=0.00 pbc="T T T"
Tm 0.8887 -5.1486 0.3919
Tb -1.3778 -2.3110 -0.1120
In 4.0582 -5.0806 0.9022
Al 1.7264 -2.1614 0.3838

=====

#Q
4
Lattice="-0.1074 -4.6655 2.2850 3.4147 -3.6578 -1.4000 3.8041 -1.3860 3.2570" Properties=species:S:1:pos:R:3 comment="TbTmAlIn, relaxed, DFT PBE" magnetic_moment_mub_per_cell=0.00 pbc="T T T"
Al 5.3335 -7.2820 3.1065
Tm 0.0000 0.0000 0.0000
In 1.7778 -2.4273 1.0355
Tb 3.5557 -4.8546 2.0710

=====

#P is favored, and the nearest alternative lies 1.2 kJ/mol of atoms above it.

=====

#P
4
Lattice="3.6423 0.0000 0.0000 0.0000 3.6423 0.0000 0.0000 0.0000 7.6056" Properties=species:S:1:pos:R:3 comment="TbYAlIn, relaxed, DFT PBE" magnetic_moment_mub_per_cell=0.00 pbc="T T T"
In 0.0000 0.0000 6.5097
Y 1.8212 1.8212 4.5319
Tb 1.8212 1.8212 0.8996
Al 0.0000 0.0000 2.7220

=====

#Q
4
Lattice="5.2291 0.0000 0.0000 2.6145 4.5285 0.0000 2.6145 1.5095 4.2695" Properties=species:S:1:pos:R:3 comment="TbYAlIn, relaxed, DFT PBE" magnetic_moment_mub_per_cell=0.00 pbc="T T T"
Y 7.8436 4.5285 3.2021
Al 0.0000 0.0000 0.0000
In 5.2291 3.0190 2.1348
Tb 2.6145 1.5095 1.0674

=====

#P is favored, and the nearest alternative lies 0.9 kJ/mol of atoms above it.

=====

#P
3
Lattice="-0.4534 4.2271 1.1181 -3.6270 1.3443 2.0885 0.2110 1.1904 4.2264" Properties=species:S:1:pos:R:3 comment="AlInTc, relaxed, DFT PBE" magnetic_moment_mub_per_cell=0.44 pbc="T T T"
In -1.9347 3.3809 3.7165
Al 0.0000 0.0000 0.0000
Tc -0.9673 1.6905 1.8582

=====

#Q
3
Lattice="5.2768 0.0023 -0.0026 4.2476 3.1302 0.0011 1.0292 0.3335 3.1100" Properties=species:S:1:pos:R:3 comment="AlInTc, relaxed, DFT PBE" magnetic_moment_mub_per_cell=0.50 pbc="T T T"
In 6.7451 2.2167 1.0165
Al 9.2879 3.0545 0.0852
Tc 4.0452 1.3272 2.0054

=====

#Q is favored, and the nearest alternative lies 36.0 kJ/mol of atoms above it.

=====

#P
3
Lattice="-2.9407 -0.7982 -3.1246 3.3135 -2.7683 0.6368 -1.7534 -1.6237 2.0649" Properties=species:S:1:pos:R:3 comment="AlInTc, relaxed, DFT PBE" magnetic_moment_mub_per_cell=0.00 pbc="T T T"
Tc -0.2320 -3.4643 1.1033
Al -1.4616 -1.3535 1.7214
In -1.4403 -1.9960 -1.1826

=====

#Q
3
Lattice="3.0192 0.0000 0.0000 -1.5096 2.6147 0.0000 0.0000 0.0000 6.7278" Properties=species:S:1:pos:R:3 comment="AlInTc, relaxed, DFT PBE" magnetic_moment_mub_per_cell=0.00 pbc="T T T"
Al 0.0000 0.0000 6.5181
In 1.5096 0.8716 2.3287
Tc 0.0000 1.7432 4.6088

=====

#P is favored, and the nearest alternative lies 4.6 kJ/mol of atoms above it.

=====

#P
12
Lattice="-4.2534 -0.3966 -2.8597 2.3529 -1.1769 -3.3364 2.7139 -15.0710 7.2302" Properties=species:S:1:pos:R:3 comment="AlInTe, relaxed, DFT PBE" magnetic_moment_mub_per_cell=0.00 pbc="T T T"
In 3.0768 -13.1623 4.1074
In 0.5434 -5.0384 2.1605
In -2.2634 -3.4822 -3.0732
In -2.0828 -10.4292 2.2101
Al -1.7937 -7.4314 1.3565
Al 0.0737 -1.0891 -2.2692
Al 0.2543 -8.0362 3.0141
Al 0.7397 -15.5554 3.3034
Te -0.2743 -13.2896 4.4945
Te -0.4548 -6.3425 -0.7888
Te -1.2652 -2.1780 -0.1239
Te 1.2682 -10.3020 1.8230

=====

#Q
6
Lattice="-0.1130 1.9466 4.7468 -4.0951 -0.8921 0.2684 1.9358 -8.5998 0.9531" Properties=species:S:1:pos:R:3 comment="AlInTe, relaxed, DFT PBE" magnetic_moment_mub_per_cell=0.00 pbc="T T T"
Te -0.6264 -6.5760 1.4432
Te -1.6458 -0.9692 4.5251
Al 0.0053 1.0926 3.7132
Al 1.8175 -7.7457 1.9867
In 0.5568 -1.8976 2.1881
In 1.2661 -4.7555 3.5118

=====

#R
3
Lattice="-3.6422 -2.4926 2.3951 1.0336 -2.5075 4.2260 -1.7197 1.6880 4.4055" Properties=species:S:1:pos:R:3 comment="AlInTe, relaxed, DFT PBE" magnetic_moment_mub_per_cell=0.00 pbc="T T T"
Al -1.0821 -0.8280 2.7567
Te -2.1641 -1.6560 5.5133
In 0.0000 0.0000 0.0000

=====

#P is favored, and the nearest alternative lies 1.1 kJ/mol of atoms above it.

=====

#P
5
Lattice="5.3636 0.0000 0.0000 0.0000 5.3636 0.0000 0.0000 0.0000 5.3636" Properties=species:S:1:pos:R:3 comment="AlIn3Te, relaxed, DFT PBE" magnetic_moment_mub_per_cell=0.00 pbc="T T T"
Al 0.0000 0.0000 0.0000
In 2.6818 0.0000 0.0000
In 0.0000 2.6818 0.0000
In 0.0000 0.0000 2.6818
Te 2.6818 2.6818 2.6818

=====

#Q
5
Lattice="5.9487 0.0000 0.0000 0.0000 5.9487 0.0000 0.0000 0.0000 5.9487" Properties=species:S:1:pos:R:3 comment="AlIn3Te, relaxed, DFT PBE" magnetic_moment_mub_per_cell=0.00 pbc="T T T"
Te 0.0000 0.0000 0.0000
In 2.9744 0.0000 0.0000
In 0.0000 0.0000 2.9744
In 0.0000 2.9744 0.0000
Al 2.9744 2.9744 2.9744

=====

#P is favored, and the nearest alternative lies 56.4 kJ/mol of atoms above it.